Entry 1:
Li5MgAu3 | GGA-PBE | relaxed

Calculated values
- SG = P6_3/mcm
- final energy (eV per atom) = -2.788
- size of the total moment (μB/f.u.) = 0.000

```
Li5MgAu3
1.0
7.8179 0.0000 0.0000
-3.9089 6.7705 0.0000
0.0000 0.0000 5.5998
Li Mg Au
10 2 6
Cartesian
-1.3363 2.3145 1.3999
-2.5726 4.4559 4.1998
0.0000 4.5137 0.0000
0.0000 4.5137 2.7999
2.6726 0.0000 1.3999
1.3363 2.3145 4.1998
5.1453 0.0000 4.1998
2.5726 4.4559 1.3999
3.9090 2.2568 0.0000
3.9090 2.2568 2.7999
0.0000 0.0000 0.0000
0.0000 0.0000 2.7999
-1.2789 2.2151 4.1998
-2.6300 4.5554 1.3999
2.5578 0.0000 4.1998
1.2789 2.2151 1.3999
5.2601 0.0000 1.3999
2.6300 4.5554 4.1998
```



Entry 2:
Th2NiGe | GGA-PBE | relaxed

Calculated values
- SG = P2_1/m
- final energy (eV per atom) = -6.911
- size of the total moment (μB/f.u.) = 0.000
- excess energy over the best structure of this formula in the dataset (meV per atom) = 0

```
Th2NiGe
1.0
6.0275 0.0000 0.0000
0.0000 4.0042 0.0000
-2.8929 0.0000 7.8275
Th Ni Ge
4 2 2
Cartesian
0.1238 1.0011 3.1567
-1.4324 1.0011 7.4247
4.5669 3.0032 0.4028
3.0107 3.0032 4.6707
1.6717 3.0032 1.7176
1.4628 1.0011 6.1099
0.0090 3.0032 5.5274
3.1256 1.0011 2.3001
```



Entry 3:
LiAl2Tc | GGA-PBE | relaxed

Calculated values
- SG = Pmmm
- final energy (eV per atom) = -5.249
- size of the total moment (μB/f.u.) = 0.000
- excess energy over the best structure of this formula in the dataset (meV per atom) = 3

```
LiAl2Tc
1.0
3.1675 0.0000 0.0000
0.0000 3.1879 0.0000
0.0000 0.0000 5.8031
Li Al Tc
1 2 1
Cartesian
0.0000 0.0000 0.0000
1.5838 1.5939 1.5524
1.5838 1.5939 4.2507
0.0000 0.0000 2.9015
```



Entry 4:
Cu2TeS | GGA-PBE | relaxed

Calculated values
- SG = P-4m2
- raw formation energy (kJ/mol of formula units) = -49
- final energy (eV per atom) = -3.993
- size of the total moment (μB/f.u.) = 0.000
- excess energy over the best structure of this formula in the dataset (meV per atom) = 0

```
Cu2TeS
1.0
3.8405 0.0000 0.0000
0.0000 3.8405 0.0000
0.0000 0.0000 5.7447
Cu Te S
2 1 1
Cartesian
0.0000 1.9203 1.1645
1.9203 0.0000 4.5802
0.0000 0.0000 2.8724
1.9203 1.9203 0.0000
```